# Pm2GeSb3Pt4, relaxed, DFT GGA-PBE
# Space group: P-4m2, No. 115
# DFT total energy: -5.89 eV per atom
# V: 21.98 Å³ per atom
# Formation energy (no corrections): -822 meV/atom
data_Pm2GeSb3Pt4
_cell_length_a 4.5370
_cell_length_b 4.5370
_cell_length_c 10.6780
_cell_angle_alpha 90.00
_cell_angle_beta 90.00
_cell_angle_gamma 90.00
_space_group_name_H-M_alt 'P 1'
_space_group_IT_number 1
_space_group_name_Hall 'P 1'
loop_
_atom_site_label
_atom_site_type_symbol
_atom_site_fract_x
_atom_site_fract_y
_atom_site_fract_z
_atom_site_occupancy
Pm1 Pm 0.0000 0.5000 0.7571 1
Pm2 Pm 0.5000 0.0000 0.2429 1
Pt1 Pt 0.5000 0.0000 0.6232 1
Pt2 Pt 0.0000 0.5000 0.3768 1
Pt3 Pt 0.0000 0.0000 0.0000 1
Pt4 Pt 0.5000 0.5000 0.0000 1
Sb1 Sb 0.0000 0.0000 0.5000 1
Sb2 Sb 0.0000 0.5000 0.1344 1
Sb3 Sb 0.5000 0.0000 0.8656 1
Ge1 Ge 0.5000 0.5000 0.5000 1


# PmScGe2Pt5, relaxed, DFT GGA-PBE
# Space group: P4/mmm, No. 123
# DFT total energy: -6.42 eV per atom
# Energy relative to the elements: -0.80 eV per atom
# V: 18.17 Å³ per atom
data_PmScGe2Pt5
_cell_length_a 4.2287
_cell_length_b 4.2287
_cell_length_c 9.1433
_cell_angle_alpha 90.00
_cell_angle_beta 90.00
_cell_angle_gamma 90.00
_space_group_name_H-M_alt 'P 1'
_space_group_IT_number 1
_space_group_name_Hall 'P 1'
loop_
_atom_site_label
_atom_site_type_symbol
_atom_site_fract_x
_atom_site_fract_y
_atom_site_fract_z
_atom_site_occupancy
Pt1 Pt 0.5000 0.0000 0.7333 1
Pt2 Pt 0.0000 0.5000 0.7333 1
Pt3 Pt 0.5000 0.5000 0.5000 1
Pt4 Pt 0.0000 0.5000 0.2667 1
Pt5 Pt 0.5000 0.0000 0.2667 1
Ge1 Ge 0.5000 0.5000 0.8704 1
Ge2 Ge 0.5000 0.5000 0.1296 1
Sc1 Sc 0.0000 0.0000 0.0000 1
Pm1 Pm 0.0000 0.0000 0.5000 1


# Pm2ScGe4Pt3, relaxed, DFT GGA-PBE
# Space group: P-4m2, No. 115
# DFT total energy: -6.19 eV per atom
# Energy relative to the elements: -0.94 eV per atom
# V: 19.99 Å³ per atom
data_Pm2ScGe4Pt3
_cell_length_a 4.2492
_cell_length_b 4.2492
_cell_length_c 11.0685
_cell_angle_alpha 90.00
_cell_angle_beta 90.00
_cell_angle_gamma 90.00
_space_group_name_H-M_alt 'P 1'
_space_group_IT_number 1
_space_group_name_Hall 'P 1'
loop_
_atom_site_label
_atom_site_type_symbol
_atom_site_fract_x
_atom_site_fract_y
_atom_site_fract_z
_atom_site_occupancy
Ge1 Ge 0.0000 0.5000 0.3495 1
Ge2 Ge 0.0000 0.0000 0.0000 1
Ge3 Ge 0.5000 0.5000 0.0000 1
Ge4 Ge 0.5000 0.0000 0.6505 1
Pt1 Pt 0.0000 0.0000 0.5000 1
Pt2 Pt 0.0000 0.5000 0.1244 1
Pt3 Pt 0.5000 0.0000 0.8756 1
Sc1 Sc 0.5000 0.5000 0.5000 1
Pm1 Pm 0.0000 0.5000 0.7595 1
Pm2 Pm 0.5000 0.0000 0.2405 1


# PmScGe2Pt2, relaxed, DFT GGA-PBE
# Space group: P-3m1, No. 164
# DFT total energy: -6.49 eV per atom
# Energy relative to the elements: -1.09 eV per atom
# V: 19.45 Å³ per atom
data_PmScGe2Pt2
_cell_length_a 4.3887
_cell_length_b 4.3887
_cell_length_c 6.9961
_cell_angle_alpha 90.00
_cell_angle_beta 90.00
_cell_angle_gamma 120.00
_space_group_name_H-M_alt 'P 1'
_space_group_IT_number 1
_space_group_name_Hall 'P 1'
loop_
_atom_site_label
_atom_site_type_symbol
_atom_site_fract_x
_atom_site_fract_y
_atom_site_fract_z
_atom_site_occupancy
Ge1 Ge 0.6667 0.3333 0.7161 1
Ge2 Ge 0.3333 0.6667 0.2839 1
Sc1 Sc 0.0000 0.0000 0.5000 1
Pt1 Pt 0.6667 0.3333 0.3001 1
Pt2 Pt 0.3333 0.6667 0.6999 1
Pm1 Pm 0.0000 0.0000 0.0000 1


# PmScGePt, relaxed, DFT GGA-PBE
# Space group: F-43m, No. 216
# DFT total energy: -6.28 eV per atom
# Energy relative to the elements: -0.84 eV per atom
# V: 21.44 Å³ per atom
data_PmScGePt
_cell_length_a 4.9496
_cell_length_b 4.9496
_cell_length_c 4.9496
_cell_angle_alpha 60.00
_cell_angle_beta 60.00
_cell_angle_gamma 60.00
_space_group_name_H-M_alt 'P 1'
_space_group_IT_number 1
_space_group_name_Hall 'P 1'
loop_
_atom_site_label
_atom_site_type_symbol
_atom_site_fract_x
_atom_site_fract_y
_atom_site_fract_z
_atom_site_occupancy
Pt1 Pt 0.7500 0.7500 0.7500 1
Sc1 Sc 0.0000 0.0000 0.0000 1
Ge1 Ge 0.2500 0.2500 0.2500 1
Pm1 Pm 0.5000 0.5000 0.5000 1


# Pm4GePtSe2, relaxed, DFT GGA-PBE
# Space group: P2/m, No. 10
# DFT total energy: -5.97 eV per atom
# V: 26.90 Å³ per atom
# Formation energy (no corrections): -1396 meV/atom
data_Pm4GePtSe2
_cell_length_a 4.1911
_cell_length_b 7.2648
_cell_length_c 7.4792
_cell_angle_alpha 109.09
_cell_angle_beta 90.00
_cell_angle_gamma 90.00
_space_group_name_H-M_alt 'P 1'
_space_group_IT_number 1
_space_group_name_Hall 'P 1'
loop_
_atom_site_label
_atom_site_type_symbol
_atom_site_fract_x
_atom_site_fract_y
_atom_site_fract_z
_atom_site_occupancy
Pm1 Pm 0.5000 0.2430 0.2369 1
Pm2 Pm 0.5000 0.7570 0.7631 1
Pm3 Pm 0.0000 0.2542 0.7574 1
Pm4 Pm 0.0000 0.7458 0.2426 1
Ge1 Ge 0.5000 0.5000 0.0000 1
Se1 Se 0.5000 0.0000 0.5000 1
Se2 Se 0.0000 0.5000 0.5000 1
Pt1 Pt 0.0000 0.0000 0.0000 1


# Pm6Ge2PtSe3, relaxed, DFT GGA-PBE
# Space group: C2/m, No. 12
# DFT total energy: -5.92 eV per atom
# V: 26.95 Å³ per atom
# Formation energy (no corrections): -1404 meV/atom
data_Pm6Ge2PtSe3
_cell_length_a 4.2130
_cell_length_b 8.5394
_cell_length_c 9.5258
_cell_angle_alpha 104.26
_cell_angle_beta 102.78
_cell_angle_gamma 90.00
_space_group_name_H-M_alt 'P 1'
_space_group_IT_number 1
_space_group_name_Hall 'P 1'
loop_
_atom_site_label
_atom_site_type_symbol
_atom_site_fract_x
_atom_site_fract_y
_atom_site_fract_z
_atom_site_occupancy
Se1 Se 0.1679 0.8331 0.3358 1
Se2 Se 0.8321 0.1669 0.6642 1
Se3 Se 0.5000 0.5000 0.0000 1
Pm1 Pm 0.6691 0.5778 0.3382 1
Pm2 Pm 0.6653 0.0898 0.3306 1
Pm3 Pm 0.3309 0.4222 0.6618 1
Pm4 Pm 0.9981 0.7555 0.9962 1
Pm5 Pm 0.3347 0.9102 0.6694 1
Pm6 Pm 0.0019 0.2445 0.0038 1
Ge1 Ge 0.1654 0.3316 0.3307 1
Ge2 Ge 0.8346 0.6684 0.6693 1
Pt1 Pt 0.5000 0.0000 0.0000 1


# Pm2Si4GePt3, relaxed, DFT GGA-PBE
# Space group: P-4m2, No. 115
# DFT total energy: -6.35 eV per atom
# V: 18.15 Å³ per atom
# Formation energy (no corrections): -952 meV/atom
data_Pm2Si4GePt3
_cell_length_a 4.3142
_cell_length_b 4.3142
_cell_length_c 9.7526
_cell_angle_alpha 90.00
_cell_angle_beta 90.00
_cell_angle_gamma 90.00
_space_group_name_H-M_alt 'P 1'
_space_group_IT_number 1
_space_group_name_Hall 'P 1'
loop_
_atom_site_label
_atom_site_type_symbol
_atom_site_fract_x
_atom_site_fract_y
_atom_site_fract_z
_atom_site_occupancy
Pm1 Pm 0.5000 0.0000 0.2459 1
Pm2 Pm 0.0000 0.5000 0.7541 1
Si1 Si 0.5000 0.5000 0.0000 1
Si2 Si 0.0000 0.5000 0.3638 1
Si3 Si 0.5000 0.0000 0.6362 1
Si4 Si 0.0000 0.0000 0.0000 1
Pt1 Pt 0.0000 0.0000 0.5000 1
Pt2 Pt 0.5000 0.0000 0.8811 1
Pt3 Pt 0.0000 0.5000 0.1189 1
Ge1 Ge 0.5000 0.5000 0.5000 1


# Pm2SiGe4Pt3, relaxed, DFT GGA-PBE
# Space group: P-4m2, No. 115
# DFT total energy: -5.94 eV per atom
# V: 19.32 Å³ per atom
# Formation energy (no corrections): -789 meV/atom
data_Pm2SiGe4Pt3
_cell_length_a 4.3728
_cell_length_b 4.3728
_cell_length_c 10.1061
_cell_angle_alpha 90.00
_cell_angle_beta 90.00
_cell_angle_gamma 90.00
_space_group_name_H-M_alt 'P 1'
_space_group_IT_number 1
_space_group_name_Hall 'P 1'
loop_
_atom_site_label
_atom_site_type_symbol
_atom_site_fract_x
_atom_site_fract_y
_atom_site_fract_z
_atom_site_occupancy
Ge1 Ge 0.5000 0.5000 0.0000 1
Ge2 Ge 0.0000 0.0000 0.0000 1
Ge3 Ge 0.5000 0.0000 0.6331 1
Ge4 Ge 0.0000 0.5000 0.3669 1
Pm1 Pm 0.5000 0.0000 0.2498 1
Pm2 Pm 0.0000 0.5000 0.7502 1
Pt1 Pt 0.0000 0.0000 0.5000 1
Pt2 Pt 0.0000 0.5000 0.1255 1
Pt3 Pt 0.5000 0.0000 0.8745 1
Si1 Si 0.5000 0.5000 0.5000 1


# PmSi2Ge2Pt7, relaxed, DFT GGA-PBE
# Space group: C2/m, No. 12
# DFT total energy: -6.16 eV per atom
# V: 19.04 Å³ per atom
# Formation energy (no corrections): -569 meV/atom
data_PmSi2Ge2Pt7
_cell_length_a 3.9604
_cell_length_b 3.9604
_cell_length_c 14.6506
_cell_angle_alpha 85.67
_cell_angle_beta 85.67
_cell_angle_gamma 89.76
_space_group_name_H-M_alt 'P 1'
_space_group_IT_number 1
_space_group_name_Hall 'P 1'
loop_
_atom_site_label
_atom_site_type_symbol
_atom_site_fract_x
_atom_site_fract_y
_atom_site_fract_z
_atom_site_occupancy
Pt1 Pt 0.5000 0.5000 0.0000 1
Pt2 Pt 0.9525 0.4537 0.1586 1
Pt3 Pt 0.4023 0.4023 0.4119 1
Pt4 Pt 0.0475 0.5463 0.8414 1
Pt5 Pt 0.4537 0.9525 0.1586 1
Pt6 Pt 0.5463 0.0475 0.8414 1
Pt7 Pt 0.5977 0.5977 0.5881 1
Pm1 Pm 0.0000 0.0000 0.0000 1
Si1 Si 0.5741 0.5741 0.7483 1
Si2 Si 0.4259 0.4259 0.2517 1
Ge1 Ge 0.8459 0.8459 0.4244 1
Ge2 Ge 0.1541 0.1541 0.5756 1


# Pm3SiGe2Pt9, relaxed, DFT GGA-PBE
# Space group: P-3m1, No. 164
# DFT total energy: -6.22 eV per atom
# V: 21.27 Å³ per atom
# Formation energy (no corrections): -667 meV/atom
data_Pm3SiGe2Pt9
_cell_length_a 6.6022
_cell_length_b 6.6022
_cell_length_c 8.4528
_cell_angle_alpha 90.00
_cell_angle_beta 90.00
_cell_angle_gamma 120.00
_space_group_name_H-M_alt 'P 1'
_space_group_IT_number 1
_space_group_name_Hall 'P 1'
loop_
_atom_site_label
_atom_site_type_symbol
_atom_site_fract_x
_atom_site_fract_y
_atom_site_fract_z
_atom_site_occupancy
Pt1 Pt 0.1392 0.2785 0.2912 1
Pt2 Pt 0.0000 0.5000 0.0000 1
Pt3 Pt 0.1392 0.8608 0.2912 1
Pt4 Pt 0.2785 0.1392 0.7088 1
Pt5 Pt 0.8608 0.1392 0.7088 1
Pt6 Pt 0.8608 0.7215 0.7088 1
Pt7 Pt 0.7215 0.8608 0.2912 1
Pt8 Pt 0.5000 0.0000 0.0000 1
Pt9 Pt 0.5000 0.5000 0.0000 1
Si1 Si 0.0000 0.0000 0.5000 1
Pm1 Pm 0.3333 0.6667 0.7056 1
Pm2 Pm 0.0000 0.0000 0.0000 1
Pm3 Pm 0.6667 0.3333 0.2944 1
Ge1 Ge 0.3333 0.6667 0.1970 1
Ge2 Ge 0.6667 0.3333 0.8030 1


What is the formula in the seventh record? Pm6Ge2PtSe3